Computed, not measured: crystalline LiLaPrBi at its relaxed geometry at the PBE level of DFT.

The space group is F-43m (No. 216) and the conventional cell measures 7.822, 7.822 and 7.822 Å, with angles of 90.00, 90.00 and 90.00 degrees. The inequivalent atoms are Li at (0.000, 0.000, 0.000), La at (0.250, 0.250, 0.750), Pr at (0.250, 0.250, 0.250) and Bi at (0.000, 0.000, 0.500).

For the formation energy, the calculation gives -1.66 eV per formula unit.


Computed, not measured: crystalline Li2LaPr2Bi2 at its relaxed geometry at the PBE level of DFT.

The space group is R-3m (No. 166, hexagonal axes) and the conventional cell measures 4.9412, 4.9412 and 28.5019 Å, with angles of 90.00, 90.00 and 120.00 degrees. The inequivalent atoms are Li at (0.0000, 0.0000, 0.0890), La at (0.0000, 0.0000, 0.5000), Pr at (0.0000, 0.0000, 0.3689) and Bi at (0.0000, 0.0000, 0.2355).

For the formation energy, the calculation gives -3.46 eV per formula unit.


Computed, not measured: crystalline LiLa2BiRh at its relaxed geometry at the PBE level of DFT.

The space group is P4/mmm (No. 123) and the conventional cell measures 5.496, 5.496 and 5.367 Å, with angles of 90.00, 90.00 and 90.00 degrees. The inequivalent atoms are Li at (0.000, 0.000, 0.000), La at (0.000, 0.500, 0.500), Bi at (0.500, 0.500, 0.000) and Rh at (0.500, 0.500, 0.500).

For the formation energy, the calculation gives -1.73 eV per formula unit.


Computed, not measured: crystalline LiLaBiRh at its relaxed geometry at the PBE level of DFT.

The space group is F-43m (No. 216) and the conventional cell measures 6.978, 6.978 and 6.978 Å, with angles of 90.00, 90.00 and 90.00 degrees. The inequivalent atoms are Li at (0.000, 0.000, 0.000), La at (0.250, 0.250, 0.250), Bi at (0.250, 0.250, 0.750) and Rh at (0.000, 0.000, 0.500).

For the formation energy, the calculation gives -2.65 eV per formula unit.


Computed, not measured: crystalline LiLa2BiRh at its relaxed geometry at the PBE level of DFT.

The space group is P4/mmm (No. 123) and the conventional cell measures 5.469, 5.469 and 4.851 Å, with angles of 90.00, 90.00 and 90.00 degrees. The inequivalent atoms are Li at (0.000, 0.000, 0.000), La at (0.000, 0.500, 0.500), Bi at (0.500, 0.500, 0.000) and Rh at (0.000, 0.000, 0.500).

For the formation energy, the calculation gives -3.09 eV per formula unit.


Computed, not measured: crystalline LiLa2BiS at its relaxed geometry at the PBE level of DFT.

The space group is P4/mmm (No. 123) and the conventional cell measures 5.615, 5.615 and 4.510 Å, with angles of 90.00, 90.00 and 90.00 degrees. The inequivalent atoms are Li at (0.000, 0.000, 0.000), La at (0.000, 0.500, 0.500), Bi at (0.500, 0.500, 0.000) and S at (0.000, 0.000, 0.500).

The formation energy without anion corrections comes out at -1.148 eV per atom.


Computed, not measured: crystalline Li2LaBiS at its relaxed geometry at the PBE level of DFT.

The space group is P4/mmm (No. 123) and the conventional cell measures 4.746, 4.746 and 5.723 Å, with angles of 90.00, 90.00 and 90.00 degrees. The inequivalent atoms are Li at (0.000, 0.500, 0.000), La at (0.000, 0.000, 0.500), Bi at (0.500, 0.500, 0.500) and S at (0.000, 0.000, 0.000).

The formation energy without anion corrections comes out at -1.141 eV per atom.


Computed, not measured: crystalline LiLaBiSe3 at its relaxed geometry at the PBE level of DFT.

The space group is P2_1/m (No. 11) and the conventional cell measures 9.017, 3.991 and 9.650 Å, with angles of 90.00, 99.02 and 90.00 degrees. The inequivalent atoms are Li at (0.090, 0.250, 0.086), La at (0.286, 0.750, 0.833), Bi at (0.328, 0.750, 0.332), Se at (0.027, 0.250, 0.810), Se at (0.364, 0.250, 0.609) and Se at (0.368, 0.250, 0.078).

The formation energy without anion corrections comes out at -1.107 eV per atom.


Computed, not measured: crystalline LiLaSmBi at its relaxed geometry at the PBE level of DFT.

The space group is F-43m (No. 216) and the conventional cell measures 7.753, 7.753 and 7.753 Å, with angles of 90.00, 90.00 and 90.00 degrees. The inequivalent atoms are Li at (0.000, 0.000, 0.000), La at (0.250, 0.250, 0.250), Sm at (0.250, 0.250, 0.750) and Bi at (0.000, 0.000, 0.500).

For the formation energy, the calculation gives -1.56 eV per formula unit.


Computed, not measured: crystalline SrLiLaBi at its relaxed geometry at the PBE level of DFT.

The space group is F-43m (No. 216) and the conventional cell measures 8.019, 8.019 and 8.019 Å, with angles of 90.00, 90.00 and 90.00 degrees. The inequivalent atoms are Sr at (0.000, 0.000, 0.000), Li at (0.250, 0.250, 0.250), La at (0.000, 0.000, 0.500) and Bi at (0.250, 0.250, 0.750).

For the formation energy, the calculation gives -1.58 eV per formula unit.


Computed, not measured: crystalline SrLi2La2Bi2 at its relaxed geometry at the PBE level of DFT.

The space group is R-3m (No. 166, hexagonal axes) and the conventional cell measures 4.9712, 4.9712 and 29.7728 Å, with angles of 90.00, 90.00 and 120.00 degrees. The inequivalent atoms are Sr at (0.0000, 0.0000, 0.0000), Li at (0.0000, 0.0000, 0.4159), La at (0.0000, 0.0000, 0.1355) and Bi at (0.0000, 0.0000, 0.2604).

For the formation energy, the calculation gives -3.69 eV per formula unit.


Computed, not measured: crystalline Li2LaTaBi at its relaxed geometry at the PBE level of DFT.

The space group is P4/mmm (No. 123) and the conventional cell measures 4.950, 4.950 and 5.521 Å, with angles of 90.00, 90.00 and 90.00 degrees. The inequivalent atoms are Li at (0.000, 0.500, 0.000), La at (0.000, 0.000, 0.500), Ta at (0.500, 0.500, 0.500) and Bi at (0.500, 0.500, 0.000).

For the formation energy, the calculation gives 2.40 eV per formula unit.